Record 1
A relaxed Pr2NbS5 crystal, computed with PBE-GGA.

Properties
For the total magnetization, the calculation gives 0.000 μB/atom. The calculation puts the electronic total energy at -0.4690 Ry per atom. The uncorrected formation energy is -1.35 eV/atom. The crystal system is tetragonal. Its theoretical density is 4.7 g/cm3.

Structure (POSCAR):
```
Pr2NbS5
1.0
-6.205 -0.530 3.082
2.275 -5.458 3.648
3.167 5.387 -0.534
S Pr Nb
5 2 1
Cartesian
0.243 -4.185 3.594
-0.923 -1.389 1.725
-2.935 -4.457 5.172
-1.523 -2.113 4.406
-4.101 -1.661 3.304
1.827 -1.355 3.451
-2.412 1.109 3.168
-0.861 -0.795 5.965
```

Record 2
A relaxed FeTcSe2 crystal, computed with PBE-GGA.

Properties
For the total magnetization, the calculation gives 0.434 μB/atom. The calculation puts the electronic total energy at -0.4778 Ry per atom. The uncorrected formation energy is -0.05 eV/atom. The crystal system is tetragonal. Its theoretical density is 7.2 g/cm3.

Structure (POSCAR):
```
FeTcSe2
1.0
3.034 0.000 0.000
0.000 3.034 0.000
0.000 0.000 7.798
Fe Tc Se
1 1 2
Cartesian
1.517 1.517 5.811
0.000 0.000 4.064
0.000 0.000 6.944
1.517 1.517 2.677
```

Record 3
A relaxed V6ReTc crystal, computed with PBE-GGA.

Properties
For the total magnetization, the calculation gives 0.000 μB/atom. The calculation puts the electronic total energy at -0.7306 Ry per atom. For the energy of formation from the pure elements, the calculation gives -0.25 eV/atom. The crystal system is orthorhombic. Its theoretical density is 9.0 g/cm3.

Structure (POSCAR):
```
V6ReTc
1.0
4.242 0.000 0.000
0.000 5.147 -0.923
0.000 -0.857 5.158
V Tc Re
6 1 1
Cartesian
0.000 3.221 3.180
2.121 2.574 -0.461
2.121 -0.429 2.579
0.000 3.638 0.605
0.000 1.069 1.055
0.000 0.651 3.630
2.121 0.000 0.000
2.121 2.145 2.118
```

Record 4
A relaxed Mg2Au crystal, computed with PBE-GGA.

Properties
For the total magnetization, the calculation gives 0.000 μB/atom. The calculation puts the electronic total energy at -0.1950 Ry per atom. For the energy of formation from the pure elements, the calculation gives -0.50 eV/atom. The crystal system is hexagonal. Its theoretical density is 6.7 g/cm3.

Structure (POSCAR):
```
Mg2Au
1.0
7.176 0.000 0.000
-3.588 6.215 0.000
0.000 0.000 4.067
Au Mg
3 6
Cartesian
0.000 4.143 0.000
0.000 0.000 2.033
3.588 2.072 0.000
1.836 0.000 0.000
1.468 2.542 2.033
2.670 4.625 0.000
4.240 0.000 2.033
-0.918 1.590 0.000
-2.120 3.672 2.033
```

Repeat the third record exactly.
A relaxed V6ReTc crystal, computed with PBE-GGA.

Properties
For the total magnetization, the calculation gives 0.000 μB/atom. The calculation puts the electronic total energy at -0.7306 Ry per atom. For the energy of formation from the pure elements, the calculation gives -0.25 eV/atom. The crystal system is orthorhombic. Its theoretical density is 9.0 g/cm3.

Structure (POSCAR):
```
V6ReTc
1.0
4.242 0.000 0.000
0.000 5.147 -0.923
0.000 -0.857 5.158
V Tc Re
6 1 1
Cartesian
0.000 3.221 3.180
2.121 2.574 -0.461
2.121 -0.429 2.579
0.000 3.638 0.605
0.000 1.069 1.055
0.000 0.651 3.630
2.121 0.000 0.000
2.121 2.145 2.118
```